Record 1
Material: KInSe
Method: DFT, PBE
State: relaxed

Its uncorrected formation energy is -719 meV/atom. For the volume, the calculation gives 34.37 A^3/atom.

The space group is P3m1 (No. 156) and the conventional cell measures 4.2928, 4.2928 and 6.4607 Å, with angles of 90.00, 90.00 and 120.00 degrees. Symmetry generates all atoms from K at (0.0000, 0.0000, 0.0000), In at (0.3333, 0.6667, 0.5549) and Se at (0.6667, 0.3333, 0.3249).


Record 2
Material: ScHg2Cl
Method: DFT, PBE
State: relaxed

Its uncorrected formation energy is -654 meV/atom. For the volume, the calculation gives 29.39 A^3/atom.

The space group is Imm2 (No. 44) and the conventional cell measures 3.2725, 5.0408 and 14.2531 Å, with angles of 90.00, 90.00 and 90.00 degrees. Symmetry generates all atoms from Sc at (0.0000, 0.0000, 0.0000), Hg at (0.0000, 0.0000, 0.5523), Hg at (0.0000, 0.5000, 0.6814) and Cl at (0.0000, 0.5000, 0.3670).


Record 3
Material: CdPbF6
Method: DFT, PBE
State: relaxed

Its uncorrected formation energy is -2039 meV/atom. For the volume, the calculation gives 16.51 A^3/atom.

The space group is P-31c (No. 163) and the conventional cell measures 5.4396, 5.4396 and 10.3067 Å, with angles of 90.00, 90.00 and 120.00 degrees. Symmetry generates all atoms from Cd at (0.0000, 0.0000, 0.0000), Pb at (0.3333, 0.6667, 0.2500) and F at (0.0262, 0.3468, 0.1296).


Record 4
Material: NaPr4S5
Method: DFT, PBE
State: relaxed

Its uncorrected formation energy is -1937 meV/atom. For the volume, the calculation gives 24.43 A^3/atom.

The space group is Immm (No. 71) and the conventional cell measures 4.1081, 5.7774 and 20.5892 Å, with angles of 90.00, 90.00 and 90.00 degrees. Symmetry generates all atoms from Na at (0.0000, 0.0000, 0.0000), Pr at (0.0000, 0.0000, 0.2025), Pr at (0.0000, 0.0000, 0.4004), S at (0.0000, 0.5000, 0.0000), S at (0.0000, 0.5000, 0.1984) and S at (0.0000, 0.5000, 0.3987).


Record 5
Material: Tb4Nd8Sm
Method: DFT, PBE
State: relaxed

Its formation energy from the elements is 2.32 eV/f.u. For the volume, the calculation gives 34.55 A^3/atom.

The space group is R-3m (No. 166, hexagonal axes) and the conventional cell measures 7.3831, 7.3831 and 28.5446 Å, with angles of 90.00, 90.00 and 120.00 degrees. Symmetry generates all atoms from Tb at (0.0000, 0.0000, 0.0000), Tb at (0.0000, 0.5000, 0.0000), Nd at (0.0000, 0.0000, 0.2148), Nd at (0.0337, 0.5169, 0.7655) and Sm at (0.0000, 0.0000, 0.5000).


Record 6
Material: NaCdAsSe3
Method: DFT, PBE
State: relaxed

Its uncorrected formation energy is -519 meV/atom. For the volume, the calculation gives 28.60 A^3/atom.

The space group is P2_1/m (No. 11) and the conventional cell measures 8.5348, 4.0519 and 10.0889 Å, with angles of 90.00, 100.40 and 90.00 degrees. Symmetry generates all atoms from Na at (0.1934, 0.2500, 0.2019), Cd at (0.1494, 0.7500, 0.5821), As at (0.4138, 0.2500, 0.8440), Se at (0.0077, 0.7500, 0.3192), Se at (0.3200, 0.7500, 0.0246) and Se at (0.4592, 0.7500, 0.6800).


Record 7
Material: Ir2Se
Method: DFT, PBE
State: relaxed

Its uncorrected formation energy is 8 meV/atom. For the volume, the calculation gives 20.39 A^3/atom.

The space group is Cmcm (No. 63) and the conventional cell measures 3.8176, 16.1128 and 3.9787 Å, with angles of 90.00, 90.00 and 90.00 degrees. Symmetry generates all atoms from Ir at (0.0000, 0.0568, 0.2500), Ir at (0.0000, 0.4371, 0.2500) and Se at (0.0000, 0.3433, 0.7500).


Record 8
Material: Th2MnC2
Method: DFT, PBE
State: relaxed

Its formation energy from the elements is -1.25 eV/f.u. For the volume, the calculation gives 17.16 A^3/atom.

The space group is C2/m (No. 12) and the conventional cell measures 11.1723, 5.3350 and 6.7659 Å, with angles of 90.00, 121.68 and 90.00 degrees. Symmetry generates all atoms from Th at (0.0444, 0.0000, 0.2971), Th at (0.1859, 0.5000, 0.1217), Mn at (0.1303, 0.5000, 0.6259), C at (0.0104, 0.5000, 0.2930) and C at (0.1770, 0.0000, 0.0926).